Record 1
Compound: CaEr2Tl2Ag2
Source: Alexandria via LeMat-Bulk
Functional: GGA-PBE
Structure: optimized geometry

Its spin magnetization is 0.0 μB/f.u. Its crystal system is trigonal. The energy of formation from the pure elements comes out at -0.167 eV/atom.

abc: 4.9463 4.9463 26.5196
angles: 90.00 90.00 120.00
Space group R-3m (No. 166, hexagonal axes)
Unique sites:
Ca1 0.0000 0.0000 0.0000 x3
Er1 0.0000 0.0000 0.1334 x6
Tl1 0.0000 0.0000 0.2587 x6
Ag1 0.0000 0.0000 0.4392 x6

=====

Record 2
Compound: Pr2MnGa
Source: Alexandria via LeMat-Bulk
Functional: GGA-PBE
Structure: optimized geometry

Its spin magnetization is 3.1 μB/f.u. Its crystal system is tetragonal. The energy of formation from the pure elements comes out at -0.089 eV/atom. Its energy above the most stable polymorph in this dataset is 0.000 eV/atom.

abc: 5.2604 5.2604 3.6981
angles: 90.00 90.00 90.00
Space group P4/mmm (No. 123)
Unique sites:
Pr1 0.0000 0.5000 0.0000 x2
Mn1 0.0000 0.0000 0.5000 x1
Ga1 0.5000 0.5000 0.5000 x1